(1)
## Cs4BaAu5 (PBE)

Data for Cs4BaAu5 after structural relaxation. Values from VASP.

Quantum ESPRESSO input file:
```
&SYSTEM
  ibrav = 0, nat = 10, ntyp = 3
/
ATOMIC_SPECIES
Cs 132.91 Cs.upf
Au 196.97 Au.upf
Ba 137.33 Ba.upf
ATOMIC_POSITIONS angstrom
Cs -1.624 1.853 3.464
Au -10.394 7.565 15.713
Au -5.167 1.601 4.564
Cs -6.645 7.583 14.176
Au -8.553 5.464 11.787
Cs -3.297 3.763 7.034
Au -3.327 -0.500 0.638
Cs -4.971 5.673 10.605
Ba 0.000 0.000 0.000
Au -6.860 3.533 8.176
CELL_PARAMETERS angstrom
-3.411 1.282 -2.285
-2.041 -3.653 0.997
-8.269 9.436 17.639
```

SG: P4/mmm, No. 123
Theoretical density (Mg/m³): 6.9
Formation energy (meV per atom): -403.0
E_tot (eV per atom): -2.58

(2)
## TbNdAg2Se4 (PBE)

Data for TbNdAg2Se4 after structural relaxation. Values from VASP.

Quantum ESPRESSO input file:
```
&SYSTEM
  ibrav = 0, nat = 8, ntyp = 4
/
ATOMIC_SPECIES
Se 78.96 Se.upf
Tb 158.93 Tb.upf
Nd 144.24 Nd.upf
Ag 107.87 Ag.upf
ATOMIC_POSITIONS angstrom
Se -6.232 0.225 2.497
Se -6.093 -1.511 -1.231
Tb -3.529 -0.338 -1.927
Nd -5.165 -2.335 1.458
Ag -3.631 1.387 1.736
Se -4.541 2.219 -0.958
Se -7.784 -3.505 2.224
Ag -5.267 -0.609 5.121
CELL_PARAMETERS angstrom
-1.995 3.384 -1.649
-5.063 -4.060 -2.205
-5.267 -0.609 5.121
```

Formation energy without anion corrections (eV/f.u.): -9.27
SG: P2/m, No. 10
Theoretical density (Mg/m³): 6.9
E_tot (eV per atom): -4.79

(3)
## K3InTc2O9 (PBE)

Data for K3InTc2O9 after structural relaxation. Values from VASP.

Quantum ESPRESSO input file:
```
&SYSTEM
  ibrav = 0, nat = 15, ntyp = 4
/
ATOMIC_SPECIES
Tc 98.00 Tc.upf
O 16.00 O.upf
K 39.10 K.upf
In 114.82 In.upf
ATOMIC_POSITIONS angstrom
Tc -4.676 -4.855 0.101
O -2.916 -4.200 0.279
K -3.741 -1.475 -0.364
In -0.930 -3.360 0.462
K 0.000 0.000 0.000
O -2.105 0.324 -1.883
O -2.574 0.833 0.874
O -0.714 -2.660 -3.950
O -5.355 -3.411 1.108
Tc -1.393 -1.217 -2.943
O -1.159 -2.178 -1.337
O 0.469 -0.509 -2.757
K -2.329 -4.597 -2.479
O -4.911 -3.894 -1.505
O -3.153 -1.871 -3.122
CELL_PARAMETERS angstrom
-5.148 1.665 1.748
0.938 -1.018 -5.514
-1.860 -6.719 0.924
```

Formation energy without anion corrections (eV/f.u.): -22.65
SG: P-3m1, No. 164
Theoretical density (Mg/m³): 4.8
E_tot (eV per atom): -6.27

(4)
## TcBAs3 (PBE)

Data for TcBAs3 after structural relaxation. Values from VASP.

Quantum ESPRESSO input file:
```
&SYSTEM
  ibrav = 0, nat = 5, ntyp = 3
/
ATOMIC_SPECIES
Tc 98.00 Tc.upf
As 74.92 As.upf
B 10.81 B.upf
ATOMIC_POSITIONS angstrom
Tc -3.000 0.446 -2.189
As -1.752 -1.263 0.013
As 0.015 -0.042 -2.159
As -1.263 1.751 -0.043
B 0.000 0.000 0.000
CELL_PARAMETERS angstrom
-2.527 3.502 -0.086
0.030 -0.084 -4.318
-3.503 -2.527 0.025
```

SG: Pm-3m, No. 221
Theoretical density (Mg/m³): 6.9
Distance to the lowest polymorph of the same formula (kJ/mol of formula units): 0
Formation energy (meV per atom): 1008.1
E_tot (eV per atom): -5.19

(5)
## Hf2AlIr (PBE)

Data for Hf2AlIr after structural relaxation. Values from VASP.

Quantum ESPRESSO input file:
```
&SYSTEM
  ibrav = 0, nat = 4, ntyp = 3
/
ATOMIC_SPECIES
Al 26.98 Al.upf
Ir 192.22 Ir.upf
Hf 178.49 Hf.upf
ATOMIC_POSITIONS angstrom
Al -3.818 -0.754 -0.433
Ir -1.089 -1.352 -1.703
Hf -4.138 0.908 1.926
Hf -1.320 0.290 0.614
CELL_PARAMETERS angstrom
-1.317 0.612 -3.118
-0.862 -3.317 -0.288
-5.458 1.198 2.540
```

SG: P4/mmm, No. 123
Theoretical density (Mg/m³): 13.2
Formation energy (meV per atom): -571.5
E_tot (eV per atom): -8.70

(6)
## Ba2Tl2Bi (PBE)

Data for Ba2Tl2Bi after structural relaxation. Values from VASP.

Quantum ESPRESSO input file:
```
&SYSTEM
  ibrav = 0, nat = 5, ntyp = 3
/
ATOMIC_SPECIES
Bi 208.98 Bi.upf
Ba 137.33 Ba.upf
Tl 204.38 Tl.upf
ATOMIC_POSITIONS angstrom
Bi 0.000 0.000 0.000
Ba 3.442 6.884 2.288
Tl 6.884 6.884 3.159
Ba 6.884 3.442 2.288
Tl 3.442 3.442 1.417
CELL_PARAMETERS angstrom
6.884 0.000 0.000
0.000 6.884 0.000
3.442 3.442 4.576
```

SG: I4/mmm, No. 139
Theoretical density (Mg/m³): 6.8
Distance to the lowest polymorph of the same formula (kJ/mol of formula units): 113
Formation energy (meV per atom): -259.1
E_tot (eV per atom): -2.75

(7)
## Mg2Sc2Pb (PBE)

Data for Mg2Sc2Pb after structural relaxation. Values from VASP.

Quantum ESPRESSO input file:
```
&SYSTEM
  ibrav = 0, nat = 10, ntyp = 3
/
ATOMIC_SPECIES
Sc 44.96 Sc.upf
Mg 24.30 Mg.upf
Pb 207.20 Pb.upf
ATOMIC_POSITIONS angstrom
Sc 6.621 2.670 1.888
Mg 1.043 2.908 0.000
Pb 3.951 3.951 0.000
Mg 6.859 4.993 0.000
Mg 2.908 6.859 0.000
Pb 0.000 0.000 0.000
Mg 4.993 1.043 0.000
Sc 2.670 1.281 1.888
Sc 1.281 5.231 1.888
Sc 5.231 6.621 1.888
CELL_PARAMETERS angstrom
7.901 0.000 0.000
0.000 7.901 0.000
0.000 0.000 3.775
```

SG: P4/mbm, No. 127
Theoretical density (Mg/m³): 4.9
Distance to the lowest polymorph of the same formula (kJ/mol of formula units): 0
Formation energy (meV per atom): -23.1
E_tot (eV per atom): -3.94

(8)
## Tl2In5Sn4 (PBE)

Data for Tl2In5Sn4 after structural relaxation. Values from VASP.

Quantum ESPRESSO input file:
```
&SYSTEM
  ibrav = 0, nat = 11, ntyp = 3
/
ATOMIC_SPECIES
Sn 118.71 Sn.upf
In 114.82 In.upf
Tl 204.38 Tl.upf
ATOMIC_POSITIONS angstrom
Sn 6.427 0.150 4.419
In 8.071 0.699 7.158
In 8.071 5.073 0.404
Tl 6.427 3.344 5.626
In 4.783 5.073 0.404
Tl 6.427 2.428 1.936
In 4.783 0.699 7.158
Sn 3.213 2.241 0.742
Sn 9.640 3.531 6.820
In 3.213 2.886 3.781
Sn 6.427 5.621 3.143
CELL_PARAMETERS angstrom
6.427 0.000 0.000
3.213 5.694 -1.086
3.213 0.078 8.648
```

SG: C2/m, No. 12
Theoretical density (Mg/m³): 7.6
Distance to the lowest polymorph of the same formula (kJ/mol of formula units): 21
Formation energy (meV per atom): 50.1
E_tot (eV per atom): -3.08